1.
TlPd2RhPb | GGA-PBE | optimized geometry

Lattice parameters (Å, degrees): 4.977 5.068 4.977 90.00 90.00 90.00
Last column: magnetic moment on the atom in μB.
Sites, in units of the cell vectors:
Pb 0.500 0.500 0.500  0.00
Pd 0.000 0.000 0.500  0.33
Pd 0.500 0.000 0.000  0.10
Rh 0.000 0.000 0.000  0.55
Tl 0.000 0.500 0.000  -0.01

Calculated values
Final energy = -4.17 eV per atom
N(E_F) = 1.180 states/eV per atom
Energy relative to the elements = 3.0 eV per formula unit

2.
TmPdRhPb | GGA-PBE | optimized geometry

Lattice parameters (Å, degrees): 4.779 4.779 4.779 60.00 60.00 60.00
Sites, in units of the cell vectors:
Pb 0.750 0.750 0.750
Pd 0.000 0.000 0.000
Tm 0.250 0.250 0.250
Rh 0.500 0.500 0.500

Calculated values
Final energy = -5.80 eV per atom
N(E_F) = 0.702 states/eV per atom
Energy relative to the elements = -2.5 eV per formula unit

3.
Zn2PdRhPb | GGA-PBE | optimized geometry

Lattice parameters (Å, degrees): 4.738 5.094 4.738 90.00 90.00 90.00
Sites, in units of the cell vectors:
Pd 0.500 0.500 0.500
Zn 0.500 0.000 0.000
Zn 0.000 0.000 0.500
Rh 0.000 0.000 0.000
Pb 0.000 0.500 0.000

Calculated values
Final energy = -3.48 eV per atom
N(E_F) = 0.514 states/eV per atom
Energy relative to the elements = 1.4 eV per formula unit

Among the records above, which one has the lowest final energy?
TmPdRhPb

Copy entry 2 word for word.
TmPdRhPb | GGA-PBE | optimized geometry

Lattice parameters (Å, degrees): 4.779 4.779 4.779 60.00 60.00 60.00
Sites, in units of the cell vectors:
Pb 0.750 0.750 0.750
Pd 0.000 0.000 0.000
Tm 0.250 0.250 0.250
Rh 0.500 0.500 0.500

Calculated values
Final energy = -5.80 eV per atom
N(E_F) = 0.702 states/eV per atom
Energy relative to the elements = -2.5 eV per formula unit